Record 1
Compound: Be3TlZn
Source: Alexandria
Functional: PBE-GGA
Structure: relaxed

For the density of states at the Fermi level, the calculation gives 1.02 states/eV per cell. Its energy above the most stable polymorph in this dataset is 0.00 eV/f.u. The energy of formation comes out at 0.7601 eV per atom. The final energy is -0.162 Ry/atom. Its space group is No. 221.

abc: 4.3263 4.3263 4.3263
angles: 90.00 90.00 90.00
Last column: nearest neighbours and their distance in Å.
Positions (direct):
Be: 0.0000 0.0000 0.5000  2 Zn 2.16
Be: 0.0000 0.5000 0.0000  2 Zn 2.16
Be: 0.5000 0.0000 0.0000  2 Zn 2.16
Tl: 0.5000 0.5000 0.5000  12 Be 3.06
Zn: 0.0000 0.0000 0.0000  6 Be 2.16

Record 2
Compound: VGaBr2
Source: Alexandria
Functional: PBE-GGA
Structure: relaxed

For the density of states at the Fermi level, the calculation gives 7.45 states/eV per cell. Its energy above the most stable polymorph in this dataset is 0.00 eV/f.u. The final energy is -0.303 Ry/atom. The value obtained for the uncorrected formation energy is -0.24 eV/atom. Its space group is No. 122.

abc: 7.0472 7.0472 7.0472
angles: 98.10 98.10 135.90
Last column: nearest neighbours and their distance in Å.
Positions (direct):
V: 0.0000 0.0000 0.0000  4 Br 2.59, 2 Ga 2.65
V: 0.7500 0.2500 0.5000  4 Br 2.59, 2 Ga 2.65
Ga: 0.2500 0.7500 0.5000  2 V 2.65
Ga: 0.5000 0.5000 0.0000  2 V 2.65
Br: 0.3750 0.2306 0.3556  2 V 2.59
Br: 0.7694 0.1250 0.1444  2 V 2.59
Br: 0.8750 0.0194 0.6444  2 V 2.59
Br: 0.9806 0.6250 0.8556  2 V 2.59

Record 3
Compound: La3SnC
Source: Alexandria
Functional: PBE-GGA
Structure: relaxed

For the density of states at the Fermi level, the calculation gives 5.75 states/eV per cell. The energy of formation comes out at 0.3126 eV per atom. The final energy is -0.389 Ry/atom. Its space group is No. 160.

abc: 6.3854 6.3854 6.3854
angles: 86.29 86.29 86.29
Last column: nearest neighbours and their distance in Å.
Positions (direct):
La: 0.0289 0.4856 0.4856  1 C 2.31
La: 0.4856 0.0289 0.4856  1 C 2.31
La: 0.4856 0.4856 0.0289  1 C 2.31
Sn: 0.5206 0.5206 0.5206  1 C 2.36
C: 0.3196 0.3196 0.3196  3 La 2.31, 1 Sn 2.36

Record 4
Compound: Li2ZrTe
Source: Alexandria
Functional: PBE-GGA
Structure: relaxed

For the density of states at the Fermi level, the calculation gives 3.41 states/eV per cell. The final energy is -0.309 Ry/atom. The value obtained for the uncorrected formation energy is -0.33 eV/atom. Its space group is No. 123.

abc: 4.1972 4.1972 4.4156
angles: 90.00 90.00 90.00
Last column: nearest neighbours and their distance in Å.
Positions (direct):
Li: 0.0000 0.5000 0.0000  4 Li 2.97, 4 Zr 3.05, 4 Te 3.05
Li: 0.5000 0.0000 0.0000  4 Li 2.97, 4 Zr 3.05, 4 Te 3.05
Zr: 0.0000 0.0000 0.5000  4 Te 2.97, 8 Li 3.05
Te: 0.5000 0.5000 0.5000  4 Zr 2.97, 8 Li 3.05